7
Lattice="4.5014 0.0000 0.0000 -2.2507 4.7280 -1.8286 0.0000 0.1529 7.5740" Properties=species:S:1:pos:R:3 comment="Nd2Cd3Pt2 | Alexandria via LeMat-Bulk | GGA-PBE | relaxed" final_energy_ha_per_atom=-0.15410 de_polymorph_mev_per_atom=0 ef_kcal_per_mol_atoms=-16.44 pbc="T T T"
Cd 0.0000 3.6041 2.8794
Cd 2.2507 0.0000 0.0000
Cd 2.2507 1.2768 2.8659
Nd 0.0000 1.4482 5.4288
Nd 2.2507 3.4327 0.3165
Pt 0.0000 1.5274 0.9101
Pt 2.2507 3.3536 4.8353